No. 1
VASP calculation (PBE) on crystalline SrCa2LaHg4 at its relaxed geometry.

Results
formation enthalpy at 0 K = -0.544 eV/atom
density of states at the Fermi level = 0.830 states/eV per atom

a = 9.5080 Å, b = 9.5080 Å, c = 9.5080 Å
α = 33.51°, β = 33.51°, γ = 33.51°
Last column: nearest neighbours and their distance in Å.
Fractional coordinates of all 8 atoms:
Sr: 0.0000 0.0000 0.0000  8 Hg 3.37-3.39
Ca: 0.2509 0.2509 0.2509  8 Hg 3.33-3.39
Ca: 0.7491 0.7491 0.7491  8 Hg 3.33-3.39
La: 0.5000 0.5000 0.5000  8 Hg 3.32-3.35
Hg: 0.1262 0.1262 0.1262  3 La 3.35, 4 Ca 3.35-3.38, 1 Sr 3.39
Hg: 0.3767 0.3767 0.3767  1 La 3.32, 4 Ca 3.33-3.39, 3 Sr 3.37
Hg: 0.6233 0.6233 0.6233  1 La 3.32, 4 Ca 3.33-3.39, 3 Sr 3.37
Hg: 0.8738 0.8738 0.8738  3 La 3.35, 4 Ca 3.35-3.38, 1 Sr 3.39



No. 2
VASP calculation (PBE) on crystalline SrMn3W at its relaxed geometry.

Results
formation enthalpy at 0 K = 0.903 eV/atom
density of states at the Fermi level = 1.435 states/eV per atom

a = 4.8625 Å, b = 4.8625 Å, c = 4.8625 Å
α = 90.00°, β = 90.00°, γ = 90.00°
Last column: nearest neighbours and their distance in Å.
Fractional coordinates of all 5 atoms:
Sr: 0.0000 0.0000 0.0000  12 Mn 3.44
Mn: 0.0000 0.5000 0.5000  2 W 2.43
Mn: 0.5000 0.0000 0.5000  2 W 2.43
Mn: 0.5000 0.5000 0.0000  2 W 2.43
W: 0.5000 0.5000 0.5000  6 Mn 2.43



No. 3
VASP calculation (PBE) on crystalline Ba5Na4Tl2 at its relaxed geometry.

Results
formation enthalpy at 0 K = -0.140 eV/atom
density of states at the Fermi level = 0.749 states/eV per atom

a = 10.3237 Å, b = 22.6034 Å, c = 4.3886 Å
α = 90.00°, β = 90.00°, γ = 90.00°
Last column: nearest neighbours and their distance in Å.
Fractional coordinates of all 22 atoms:
Ba: 0.0000 0.0000 0.0000  8 Na 4.10-4.18, 4 Ba 4.37-4.39
Ba: 0.1229 0.4126 0.0000  2 Tl 3.52
Ba: 0.2373 0.2228 0.0000  4 Tl 3.64-3.65, 2 Na 4.06
Ba: 0.2627 0.7228 0.0000  4 Tl 3.64-3.65, 2 Na 4.06
Ba: 0.3771 0.9126 0.0000  2 Tl 3.52
Ba: 0.5000 0.5000 0.0000  8 Na 4.10-4.18, 4 Ba 4.37-4.39
Ba: 0.6229 0.0874 0.0000  2 Tl 3.52
Ba: 0.7373 0.2772 0.0000  4 Tl 3.64-3.65, 2 Na 4.06
Ba: 0.7627 0.7772 0.0000  4 Tl 3.64-3.65, 2 Na 4.06
Ba: 0.8771 0.5874 0.0000  2 Tl 3.52
Na: 0.0696 0.8457 0.5000  1 Tl 3.44
Na: 0.2042 0.5721 0.5000  1 Tl 3.64, 2 Ba 4.04
Na: 0.2958 0.0721 0.5000  1 Tl 3.64, 2 Ba 4.04
Na: 0.4304 0.3457 0.5000  1 Tl 3.44
Na: 0.5696 0.6543 0.5000  1 Tl 3.44
Na: 0.7042 0.9279 0.5000  1 Tl 3.64, 2 Ba 4.04
Na: 0.7958 0.4279 0.5000  1 Tl 3.64, 2 Ba 4.04
Na: 0.9304 0.1543 0.5000  1 Tl 3.44
Tl: 0.0139 0.3014 0.5000  2 Na 3.44-3.64, 6 Ba 3.52-3.65
Tl: 0.4861 0.8014 0.5000  2 Na 3.44-3.64, 6 Ba 3.52-3.65
Tl: 0.5139 0.1986 0.5000  2 Na 3.44-3.64, 6 Ba 3.52-3.65
Tl: 0.9861 0.6986 0.5000  2 Na 3.44-3.64, 6 Ba 3.52-3.65



No. 4
VASP calculation (PBE) on crystalline RbLi2ZrBr at its relaxed geometry.

Results
density of states at the Fermi level = 0.715 states/eV per atom
energy = -2.18 eV per atom

a = 5.4304 Å, b = 5.4304 Å, c = 5.8692 Å
α = 90.00°, β = 90.00°, γ = 90.00°
Last column: nearest neighbours and their distance in Å.
Fractional coordinates of all 5 atoms:
Rb: 0.0000 0.0000 0.0000  4 Li 2.72, 2 Br 2.93
Li: 0.0000 0.5000 0.0000  2 Rb 2.72
Li: 0.5000 0.0000 0.0000  2 Rb 2.72
Zr: 0.5000 0.5000 0.5000  4 Br 3.84, 8 Li 4.00
Br: 0.0000 0.0000 0.5000  2 Rb 2.93



No. 5
VASP calculation (PBE) on crystalline ScTl3Hg at its relaxed geometry.

Results
formation enthalpy at 0 K = 0.570 eV/atom
density of states at the Fermi level = 1.060 states/eV per atom

a = 5.6247 Å, b = 5.6247 Å, c = 5.6247 Å
α = 90.00°, β = 90.00°, γ = 90.00°
Last column: nearest neighbours and their distance in Å.
Fractional coordinates of all 5 atoms:
Sc: 0.0000 0.0000 0.0000  12 Tl 3.98
Tl: 0.0000 0.5000 0.5000  2 Hg 2.81
Tl: 0.5000 0.0000 0.5000  2 Hg 2.81
Tl: 0.5000 0.5000 0.0000  2 Hg 2.81
Hg: 0.5000 0.5000 0.5000  6 Tl 2.81



No. 6
VASP calculation (PBE) on crystalline LaMgGa at its relaxed geometry.

Results
formation enthalpy at 0 K = -0.373 eV/atom
density of states at the Fermi level = 0.575 states/eV per atom

a = 6.9549 Å, b = 6.9549 Å, c = 6.9549 Å
α = 143.50°, β = 126.13°, γ = 66.83°
Last column: nearest neighbours and their distance in Å.
Fractional coordinates of all 6 atoms:
La: 0.1923 0.1923 0.0000  4 Ga 3.13-3.28
La: 0.8077 0.8077 0.0000  4 Ga 3.13-3.28
Mg: 0.2634 0.5000 0.7634  4 Ga 2.95, 1 Mg 2.98
Mg: 0.7366 0.5000 0.2366  4 Ga 2.95, 1 Mg 2.98
Ga: 0.3862 0.8862 0.5000  1 Ga 2.64, 4 Mg 2.95
Ga: 0.6138 0.1138 0.5000  1 Ga 2.64, 4 Mg 2.95



No. 7
VASP calculation (PBE) on crystalline SrMgIr2 at its relaxed geometry.

Results
formation enthalpy at 0 K = 0.295 eV/atom
density of states at the Fermi level = 1.030 states/eV per atom

a = 4.7763 Å, b = 4.7763 Å, c = 4.7763 Å
α = 60.00°, β = 60.00°, γ = 60.00°
Last column: nearest neighbours and their distance in Å.
Fractional coordinates of all 4 atoms:
Sr: 0.0000 0.0000 0.0000  4 Mg 2.92, 4 Ir 2.92
Mg: 0.7500 0.7500 0.7500  4 Ir 2.92, 4 Sr 2.92
Ir: 0.2500 0.2500 0.2500  4 Ir 2.92, 4 Sr 2.92
Ir: 0.5000 0.5000 0.5000  4 Mg 2.92, 4 Ir 2.92



No. 8
VASP calculation (PBE) on crystalline Rb3Mg2AgBr9 at its relaxed geometry.

Results
density of states at the Fermi level = 0.636 states/eV per atom
energy = -2.90 eV per atom

a = 7.6342 Å, b = 7.6342 Å, c = 9.5289 Å
α = 90.00°, β = 90.00°, γ = 120.00°
Last column: nearest neighbours and their distance in Å.
Fractional coordinates of all 15 atoms:
Rb: 0.0000 0.0000 0.0000  12 Br 3.82-3.90
Rb: 0.3333 0.6667 0.6618  12 Br 3.79-3.90
Rb: 0.6667 0.3333 0.3382  12 Br 3.79-3.90
Mg: 0.3333 0.6667 0.1585  6 Br 2.67-2.71
Mg: 0.6667 0.3333 0.8415  6 Br 2.67-2.71
Ag: 0.0000 0.0000 0.5000  6 Br 2.77
Br: 0.0000 0.5000 0.0000  2 Mg 2.67
Br: 0.1718 0.3436 0.3331  1 Mg 2.71, 1 Ag 2.77
Br: 0.1718 0.8282 0.3331  1 Mg 2.71, 1 Ag 2.77
Br: 0.3436 0.1718 0.6669  1 Mg 2.71, 1 Ag 2.77
Br: 0.5000 0.0000 0.0000  2 Mg 2.67
Br: 0.5000 0.5000 0.0000  2 Mg 2.67
Br: 0.6564 0.8282 0.3331  1 Mg 2.71, 1 Ag 2.77
Br: 0.8282 0.1718 0.6669  1 Mg 2.71, 1 Ag 2.77
Br: 0.8282 0.6564 0.6669  1 Mg 2.71, 1 Ag 2.77



- What is the formula in the seventh record?
  SrMgIr2